MnTcTe | GGA-PBEsol | relaxed

Geometry as extended XYZ:
```
12
Lattice="5.7984 0.0000 0.0000 0.0000 5.7984 0.0000 0.0000 0.0000 5.7984" Properties=species:S:1:pos:R:3 pbc="T T T"
Mn 0.0000 0.0000 0.0000
Mn 0.0000 2.8992 2.8992
Mn 2.8992 0.0000 2.8992
Mn 2.8992 2.8992 0.0000
Tc 1.4496 1.4496 4.3488
Tc 1.4496 4.3488 1.4496
Tc 4.3488 1.4496 1.4496
Tc 4.3488 4.3488 4.3488
Te 1.4496 1.4496 1.4496
Te 1.4496 4.3488 4.3488
Te 4.3488 1.4496 4.3488
Te 4.3488 4.3488 1.4496
```

Summary:
* SG: F-43m, No. 216
* total moment: 0.002 Bohr magnetons per cell
* E_form (uncorrected): 249 meV/atom
* D(E_F): 11.9 states/eV per cell